# MgNbAu2 (GGA-PBE, optimized geometry)
# - Electronic total energy: -4.87 eV/atom
# - Fermi-level density of states: 0.546 states/eV per atom
# - Magnetic moment: 0.00 Bohr magnetons per cell
# - Formation enthalpy at 0 K: -316.7 meV/atom
data_MgNbAu2
_symmetry_space_group_name_H-M 'P 4/m m m'
_symmetry_Int_Tables_number 123
_symmetry_space_group_name_Hall '-P 4 2'
_cell_length_a 3.022
_cell_length_b 3.022
_cell_length_c 7.801
_cell_angle_alpha 90.00
_cell_angle_beta 90.00
_cell_angle_gamma 90.00
loop_
_atom_site_label
_atom_site_type_symbol
_atom_site_fract_x
_atom_site_fract_y
_atom_site_fract_z
Mg1 Mg 0.000 0.000 0.000
Nb1 Nb 0.000 0.000 0.500
Au1 Au 0.500 0.500 0.245